# Al2ReNi, optimized geometry, DFT GGA-PBEsol
# Energy of formation from the pure elements   -0.23 eV/atom
# Polymorph energy (0 for the lowest one)   125.7 meV per atom
data_Al2ReNi
_chemical_formula_sum 'Al4 Re2 Ni2'
_symmetry_space_group_name_H-M 'C m m m'
_symmetry_Int_Tables_number 65
_symmetry_space_group_name_Hall '-C 2 2'
_cell_length_a 3.2180
_cell_length_b 4.2486
_cell_length_c 7.7291
_cell_angle_alpha 90.00
_cell_angle_beta 90.00
_cell_angle_gamma 90.00
loop_
_atom_site_label
_atom_site_fract_x
_atom_site_fract_y
_atom_site_fract_z
Al1 0.0000 0.0000 0.2294
Re1 0.0000 0.5000 0.5000
Ni1 0.0000 0.5000 0.0000



# Ca7Tl3N2, optimized geometry, DFT GGA-PBEsol
# Formation energy without anion corrections   -0.713 eV/atom
data_Ca7Tl3N2
_chemical_formula_sum 'Ca14 Tl6 N4'
_symmetry_space_group_name_H-M 'C m m m'
_symmetry_Int_Tables_number 65
_symmetry_space_group_name_Hall '-C 2 2'
_cell_length_a 4.8750
_cell_length_b 24.5636
_cell_length_c 4.8048
_cell_angle_alpha 90.00
_cell_angle_beta 90.00
_cell_angle_gamma 90.00
loop_
_atom_site_label
_atom_site_fract_x
_atom_site_fract_y
_atom_site_fract_z
Ca1 0.0000 0.0000 0.0000
Ca2 0.0000 0.0992 0.5000
Ca3 0.0000 0.1968 0.0000
Ca4 0.0000 0.3997 0.0000
Tl1 0.0000 0.2933 0.5000
Tl2 0.0000 0.5000 0.5000
N1 0.0000 0.1028 0.0000



# KCaF3, optimized geometry, DFT GGA-PBEsol
# Formation energy without anion corrections   -3.475 eV/atom
data_KCaF3
_chemical_formula_sum 'K4 Ca4 F12'
_symmetry_space_group_name_H-M 'P n m a'
_symmetry_Int_Tables_number 62
_symmetry_space_group_name_Hall '-P 2ac 2n'
_cell_length_a 6.2120
_cell_length_b 8.6710
_cell_length_c 6.0971
_cell_angle_alpha 90.00
_cell_angle_beta 90.00
_cell_angle_gamma 90.00
loop_
_atom_site_label
_atom_site_fract_x
_atom_site_fract_y
_atom_site_fract_z
K1 0.0417 0.2500 0.0113
Ca1 0.0000 0.0000 0.5000
F1 0.0295 0.7500 0.4150
F2 0.2109 0.5453 0.7907



# BaNb3I, optimized geometry, DFT GGA-PBEsol
# Formation energy without anion corrections   2.569 eV/atom
data_BaNb3I
_chemical_formula_sum 'Ba1 Nb3 I1'
_symmetry_space_group_name_H-M 'P m -3 m'
_symmetry_Int_Tables_number 221
_symmetry_space_group_name_Hall '-P 4 2 3'
_cell_length_a 5.1065
_cell_length_b 5.1065
_cell_length_c 5.1065
_cell_angle_alpha 90.00
_cell_angle_beta 90.00
_cell_angle_gamma 90.00
loop_
_atom_site_label
_atom_site_fract_x
_atom_site_fract_y
_atom_site_fract_z
Ba1 0.0000 0.0000 0.0000
Nb1 0.0000 0.0000 0.5000
I1 0.5000 0.5000 0.5000



# FeTeIr2, optimized geometry, DFT GGA-PBEsol
# Formation energy without anion corrections   0.460 eV/atom
data_FeTeIr2
_chemical_formula_sum 'Fe2 Te2 Ir4'
_symmetry_space_group_name_H-M 'C m m m'
_symmetry_Int_Tables_number 65
_symmetry_space_group_name_Hall '-C 2 2'
_cell_length_a 5.6546
_cell_length_b 7.3359
_cell_length_c 2.9962
_cell_angle_alpha 90.00
_cell_angle_beta 90.00
_cell_angle_gamma 90.00
loop_
_atom_site_label
_atom_site_fract_x
_atom_site_fract_y
_atom_site_fract_z
Fe1 0.0000 0.0000 0.0000
Te1 0.0000 0.5000 0.0000
Ir1 0.2500 0.2500 0.5000



# CdSb2Ir, optimized geometry, DFT GGA-PBEsol
# Formation energy without anion corrections   0.268 eV/atom
data_CdSb2Ir
_chemical_formula_sum 'Cd2 Sb4 Ir2'
_symmetry_space_group_name_H-M 'I 4/m m m'
_symmetry_Int_Tables_number 139
_symmetry_space_group_name_Hall '-I 4 2'
_cell_length_a 5.0985
_cell_length_b 5.0985
_cell_length_c 6.2788
_cell_angle_alpha 90.00
_cell_angle_beta 90.00
_cell_angle_gamma 90.00
loop_
_atom_site_label
_atom_site_fract_x
_atom_site_fract_y
_atom_site_fract_z
Cd1 0.0000 0.0000 0.0000
Sb1 0.0000 0.5000 0.2500
Ir1 0.0000 0.0000 0.5000



# CuAsPb2, optimized geometry, DFT GGA-PBEsol
# Energy of formation from the pure elements   0.29 eV/atom
data_CuAsPb2
_chemical_formula_sum 'Cu1 As1 Pb2'
_symmetry_space_group_name_H-M 'P 4/m m m'
_symmetry_Int_Tables_number 123
_symmetry_space_group_name_Hall '-P 4 2'
_cell_length_a 4.8288
_cell_length_b 4.8288
_cell_length_c 3.8473
_cell_angle_alpha 90.00
_cell_angle_beta 90.00
_cell_angle_gamma 90.00
loop_
_atom_site_label
_atom_site_fract_x
_atom_site_fract_y
_atom_site_fract_z
Cu1 0.0000 0.0000 0.0000
As1 0.5000 0.5000 0.0000
Pb1 0.0000 0.5000 0.5000



# TlCdAu, optimized geometry, DFT GGA-PBEsol
# Energy of formation from the pure elements   0.00 eV/atom
data_TlCdAu
_chemical_formula_sum 'Tl2 Cd2 Au2'
_symmetry_space_group_name_H-M 'I 4 m m'
_symmetry_Int_Tables_number 107
_symmetry_space_group_name_Hall 'I 4 -2'
_cell_length_a 3.3039
_cell_length_b 3.3039
_cell_length_c 11.9891
_cell_angle_alpha 90.00
_cell_angle_beta 90.00
_cell_angle_gamma 90.00
loop_
_atom_site_label
_atom_site_fract_x
_atom_site_fract_y
_atom_site_fract_z
Tl1 0.0000 0.0000 0.0000
Cd1 0.0000 0.0000 0.6970
Au1 0.0000 0.0000 0.3317



# NaZnF3, optimized geometry, DFT GGA-PBEsol
# Formation energy without anion corrections   -2.509 eV/atom
data_NaZnF3
_chemical_formula_sum 'Na4 Zn4 F12'
_symmetry_space_group_name_H-M 'P n m a'
_symmetry_Int_Tables_number 62
_symmetry_space_group_name_Hall '-P 2ac 2n'
_cell_length_a 5.5971
_cell_length_b 7.7506
_cell_length_c 5.3985
_cell_angle_alpha 90.00
_cell_angle_beta 90.00
_cell_angle_gamma 90.00
loop_
_atom_site_label
_atom_site_fract_x
_atom_site_fract_y
_atom_site_fract_z
Na1 0.0585 0.2500 0.0166
Zn1 0.0000 0.0000 0.5000
F1 0.0393 0.7500 0.3926
F2 0.2005 0.5562 0.8035



# Sc5Be, optimized geometry, DFT GGA-PBEsol
# Energy of formation from the pure elements   0.16 eV/atom
# Polymorph energy (0 for the lowest one)   137.9 meV per atom
data_Sc5Be
_chemical_formula_sum 'Sc5 Be1'
_symmetry_space_group_name_H-M 'P -6 2 m'
_symmetry_Int_Tables_number 189
_symmetry_space_group_name_Hall 'P -6 -2'
_cell_length_a 5.4694
_cell_length_b 5.4694
_cell_length_c 4.8071
_cell_angle_alpha 90.00
_cell_angle_beta 90.00
_cell_angle_gamma 120.00
loop_
_atom_site_label
_atom_site_fract_x
_atom_site_fract_y
_atom_site_fract_z
Sc1 0.0000 0.6930 0.0000
Sc2 0.3333 0.6667 0.5000
Be1 0.0000 0.0000 0.5000



# Ca2ScSb, optimized geometry, DFT GGA-PBEsol
# Formation energy without anion corrections   -0.267 eV/atom
data_Ca2ScSb
_chemical_formula_sum 'Ca4 Sc2 Sb2'
_symmetry_space_group_name_H-M 'C m m m'
_symmetry_Int_Tables_number 65
_symmetry_space_group_name_Hall '-C 2 2'
_cell_length_a 6.4670
_cell_length_b 10.0281
_cell_length_c 3.4773
_cell_angle_alpha 90.00
_cell_angle_beta 90.00
_cell_angle_gamma 90.00
loop_
_atom_site_label
_atom_site_fract_x
_atom_site_fract_y
_atom_site_fract_z
Ca1 0.2500 0.2500 0.0000
Sc1 0.0000 0.0000 0.5000
Sb1 0.0000 0.5000 0.5000



# Y5Co, optimized geometry, DFT GGA-PBEsol
# Energy of formation from the pure elements   -0.02 eV/atom
# Polymorph energy (0 for the lowest one)   0.0 meV per atom
data_Y5Co
_chemical_formula_sum 'Y10 Co2'
_symmetry_space_group_name_H-M 'C 1 2/m 1'
_symmetry_Int_Tables_number 12
_symmetry_space_group_name_Hall '-C 2y'
_cell_length_a 11.8032
_cell_length_b 3.5107
_cell_length_c 8.2077
_cell_angle_alpha 90.00
_cell_angle_beta 110.72
_cell_angle_gamma 90.00
loop_
_atom_site_label
_atom_site_fract_x
_atom_site_fract_y
_atom_site_fract_z
Y1 0.0000 0.0000 0.0000
Y2 0.1258 0.5000 0.3785
Y3 0.1693 0.5000 0.7926
Co1 0.0000 0.0000 0.5000



# LiRhIN2, optimized geometry, DFT GGA-PBEsol
# Formation energy without anion corrections   0.500 eV/atom
data_LiRhIN2
_chemical_formula_sum 'Li1 Rh1 I1 N2'
_symmetry_space_group_name_H-M 'P 4/m m m'
_symmetry_Int_Tables_number 123
_symmetry_space_group_name_Hall '-P 4 2'
_cell_length_a 3.7511
_cell_length_b 3.7511
_cell_length_c 6.4793
_cell_angle_alpha 90.00
_cell_angle_beta 90.00
_cell_angle_gamma 90.00
loop_
_atom_site_label
_atom_site_fract_x
_atom_site_fract_y
_atom_site_fract_z
Li1 0.0000 0.0000 0.0000
Rh1 0.5000 0.5000 0.5000
I1 0.5000 0.5000 0.0000
N1 0.0000 0.5000 0.5000